Below is PrAlSn2 after structural relaxation, with properties calculated at the PBE-GGA level.

Output
VASP energy: -4.56 eV/atom
N(E_F): 1.658 states/eV/f.u.
Energy of formation from the pure elements: -0.4321 eV per atom
Symmetry: No. 123
Spin magnetization: 0.00 Bohr magnetons per cell

a b c (Å): 4.738 4.639 4.639
angles (deg): 90.00 90.00 90.00
Atoms (fractional coordinates):
Pr: 0.500 0.500 0.500
Sn: 0.000 0.000 0.500
Sn: 0.000 0.500 0.000
Al: 0.500 0.000 0.000

***

Below is Ca5Pr12Pb3 after structural relaxation, with properties calculated at the PBE-GGA level.

Output
VASP energy: -3.37 eV/atom
N(E_F): 28.470 states/eV/f.u.
Energy of formation from the pure elements: 0.5530 eV per atom
Symmetry: No. 230
Spin magnetization: 19.83 Bohr magnetons per cell

a b c (Å): 16.891 16.891 16.891
angles (deg): 109.47 109.47 109.47
Site moments in Bohr magnetons follow the coordinates.
Atoms (fractional coordinates):
Pb: 0.750 0.375 0.125  -0.01
Pb: 0.875 0.750 0.125  -0.01
Pb: 0.375 0.750 0.625  -0.01
Pb: 0.250 0.125 0.375  -0.01
Pb: 0.875 0.125 0.250  -0.01
Pb: 0.375 0.625 0.250  -0.01
Pb: 0.625 0.375 0.750  -0.01
Pb: 0.125 0.875 0.750  -0.01
Pb: 0.750 0.875 0.625  -0.01
Pb: 0.625 0.250 0.375  -0.01
Pb: 0.125 0.250 0.875  -0.01
Pb: 0.250 0.625 0.875  -0.01
Ca: 0.125 0.375 0.250  0.01
Ca: 0.000 0.500 0.000  0.09
Ca: 0.000 0.000 0.000  0.09
Ca: 0.375 0.250 0.125  0.01
Ca: 0.500 0.000 0.500  0.09
Ca: 0.500 0.500 0.000  0.09
Ca: 0.125 0.750 0.375  0.01
Ca: 0.750 0.125 0.875  0.01
Ca: 0.750 0.625 0.375  0.01
Ca: 0.375 0.125 0.750  0.01
Ca: 0.625 0.875 0.250  0.01
Ca: 0.500 0.500 0.500  0.09
Ca: 0.500 0.000 0.000  0.09
Ca: 0.000 0.000 0.500  0.09
Ca: 0.250 0.375 0.625  0.01
Ca: 0.250 0.875 0.125  0.01
Ca: 0.000 0.500 0.500  0.09
Ca: 0.875 0.250 0.625  0.01
Ca: 0.625 0.750 0.875  0.01
Ca: 0.875 0.625 0.750  0.01
Pr: 0.735 0.150 0.082  0.21
Pr: 0.348 0.582 0.433  0.21
Pr: 0.918 0.350 0.265  0.21
Pr: 0.582 0.235 0.150  0.21
Pr: 0.585 0.735 0.652  0.21
Pr: 0.918 0.567 0.152  0.21
Pr: 0.348 0.765 0.415  0.21
Pr: 0.067 0.915 0.150  0.21
Pr: 0.567 0.918 0.652  0.21
Pr: 0.735 0.585 0.152  0.21
Pr: 0.765 0.418 0.350  0.21
Pr: 0.848 0.933 0.082  0.21
Pr: 0.150 0.735 0.582  0.21
Pr: 0.350 0.433 0.085  0.21
Pr: 0.085 0.933 0.350  0.21
Pr: 0.415 0.150 0.567  0.21
Pr: 0.085 0.152 0.235  0.21
Pr: 0.418 0.652 0.067  0.21
Pr: 0.848 0.915 0.265  0.21
Pr: 0.150 0.415 0.067  0.21
Pr: 0.350 0.918 0.765  0.21
Pr: 0.567 0.650 0.415  0.21
Pr: 0.933 0.848 0.582  0.21
Pr: 0.765 0.348 0.915  0.21
Pr: 0.433 0.350 0.585  0.21
Pr: 0.067 0.152 0.418  0.21
Pr: 0.235 0.652 0.085  0.21
Pr: 0.152 0.085 0.735  0.21
Pr: 0.650 0.082 0.235  0.21
Pr: 0.850 0.585 0.933  0.21
Pr: 0.582 0.348 0.933  0.21
Pr: 0.585 0.850 0.433  0.21
Pr: 0.915 0.848 0.765  0.21
Pr: 0.915 0.067 0.650  0.21
Pr: 0.850 0.265 0.418  0.21
Pr: 0.152 0.067 0.918  0.21
Pr: 0.650 0.567 0.915  0.21
Pr: 0.433 0.082 0.348  0.21
Pr: 0.265 0.415 0.848  0.21
Pr: 0.235 0.582 0.650  0.21
Pr: 0.933 0.085 0.850  0.21
Pr: 0.652 0.235 0.585  0.21
Pr: 0.418 0.765 0.850  0.21
Pr: 0.082 0.433 0.848  0.21
Pr: 0.415 0.265 0.348  0.21
Pr: 0.082 0.650 0.735  0.21
Pr: 0.652 0.418 0.567  0.21
Pr: 0.265 0.850 0.918  0.21

***

Below is Li5CdPd2 after structural relaxation, with properties calculated at the PBE-GGA level.

Output
VASP energy: -2.93 eV/atom
N(E_F): 2.796 states/eV/f.u.
Energy of formation from the pure elements: -0.3222 eV per atom
Symmetry: No. 139
Spin magnetization: 0.00 Bohr magnetons per cell

a b c (Å): 4.318 4.318 7.329
angles (deg): 107.13 107.13 90.00
Atoms (fractional coordinates):
Li: 0.500 0.500 0.000
Li: 0.857 0.357 0.715
Li: 0.357 0.857 0.715
Li: 0.143 0.643 0.285
Li: 0.643 0.143 0.285
Cd: 0.000 0.000 0.000
Pd: 0.752 0.752 0.505
Pd: 0.248 0.248 0.495

***

Below is NiPdSeN2 after structural relaxation, with properties calculated at the PBE-GGA level.

Output
VASP energy: -5.07 eV/atom
N(E_F): 4.129 states/eV/f.u.
Symmetry: No. 123
Spin magnetization: 0.00 Bohr magnetons per cell

a b c (Å): 3.529 3.529 6.730
angles (deg): 90.00 90.00 90.00
Atoms (fractional coordinates):
Ni: 0.000 0.000 0.000
Se: 0.000 0.000 0.500
Pd: 0.500 0.500 0.500
N: 0.000 0.500 0.000
N: 0.500 0.000 0.000

***

Question: Which value of spin magnetization does entry 4 give?
Answer: 0.00 Bohr magnetons per cell

***

Question: What is the spin magnetization in the second record?
Answer: 19.83 Bohr magnetons per cell